1.
PmScFe (PBE, relaxed); E_tot = -18.71 eV per cell; E above lowest polymorph = 0.0 kJ per mole of atoms; E_form = 0.23 eV per atom; calculated volume = 22.59 Å³/atom; space group = No. 216; spin magnetization = 0.01 μB per formula unit
1.0
0.000 3.236 3.236
3.236 0.000 3.236
3.236 3.236 0.000
Pm Sc Fe
1 1 1
direct
0.000 0.000 0.000 Pm
0.500 0.500 0.500 Sc
0.250 0.250 0.250 Fe

---

2.
TbGaSiIr2 (PBE, relaxed); E_tot = -71.12 eV per cell; E above lowest polymorph = 0.0 kJ per mole of atoms; calculated volume = 17.49 Å³/atom; space group = No. 129; spin magnetization = 0.01 μB per formula unit
1.0
4.113 0.000 0.000
0.000 4.113 0.000
0.000 0.000 10.340
Tb Ga Si Ir
2 2 2 4
direct
0.250 0.250 0.247 Tb
0.750 0.750 0.753 Tb
0.250 0.750 0.500 Ga
0.750 0.250 0.500 Ga
0.250 0.250 0.875 Si
0.750 0.750 0.125 Si
0.250 0.250 0.648 Ir
0.250 0.750 0.000 Ir
0.750 0.250 0.000 Ir
0.750 0.750 0.352 Ir

---

3.
HfZrTe2As2 (PBE, relaxed); E_tot = -39.15 eV per cell; calculated volume = 22.89 Å³/atom; space group = No. 44; spin magnetization = 0.01 μB per formula unit
1.0
-1.861 2.731 6.757
1.861 -2.731 6.757
1.861 2.731 -6.757
Hf Zr Te As
1 1 2 2
direct
0.000 0.000 0.000 Hf
0.240 0.240 0.000 Zr
0.413 0.913 0.500 Te
0.829 0.329 0.500 Te
0.375 0.619 0.756 As
0.863 0.619 0.244 As

---

4.
CsNa3As2Au2 (PBE, relaxed); E_tot = -23.93 eV per cell; calculated volume = 27.40 Å³/atom; space group = No. 6
1.0
5.905 0.000 0.000
0.000 6.154 0.000
-1.770 0.000 6.033
Cs Na As Au
1 3 2 2
direct
0.000 0.000 0.000 Cs
0.314 0.500 0.344 Na
0.654 0.000 0.352 Na
0.939 0.500 0.660 Na
0.242 0.000 0.547 As
0.724 0.500 0.140 As
0.459 0.262 0.839 Au
0.459 0.738 0.839 Au

---

5.
ErTlGa (PBE, relaxed); E_tot = -10.03 eV per cell; E above lowest polymorph = 31.6 kJ per mole of atoms; calculated volume = 27.20 Å³/atom; space group = No. 216; spin magnetization = 0.00 μB per formula unit
1.0
0.000 3.442 3.442
3.442 0.000 3.442
3.442 3.442 0.000
Er Tl Ga
1 1 1
direct
0.000 0.000 0.000 Er
0.250 0.250 0.250 Tl
0.500 0.500 0.500 Ga

---

6.
CdTeNO (PBE, relaxed); E_tot = -29.74 eV per cell; E above lowest polymorph = 58.5 kJ per mole of atoms; calculated volume = 14.68 Å³/atom; space group = No. 129
1.0
3.865 0.000 0.000
0.000 3.865 0.000
0.000 0.000 7.863
Cd Te N O
2 2 2 2
direct
0.250 0.750 0.000 Cd
0.750 0.250 0.000 Cd
0.250 0.250 0.343 Te
0.750 0.750 0.657 Te
0.250 0.250 0.809 N
0.750 0.750 0.191 N
0.250 0.750 0.500 O
0.750 0.250 0.500 O

---

7.
Tl2Ni (PBE, relaxed); E_tot = -14.70 eV per cell; calculated volume = 26.58 Å³/atom; space group = No. 227; spin magnetization = 0.02 μB per formula unit
1.0
0.000 4.304 4.304
4.304 0.000 4.304
4.304 4.304 0.000
Tl Ni
4 2
direct
0.000 0.000 0.000 Tl
0.000 0.000 0.500 Tl
0.000 0.500 0.000 Tl
0.500 0.000 0.000 Tl
0.375 0.375 0.375 Ni
0.625 0.625 0.625 Ni

---

8.
PrHoFe2Ge4 (PBE, relaxed); E_tot = -48.24 eV per cell; calculated volume = 18.76 Å³/atom; space group = No. 38; spin magnetization = 1.62 μB per formula unit
1.0
4.243 0.000 0.000
0.000 2.115 8.362
0.000 -2.115 8.362
Pr Ho Fe Ge
1 1 2 4
direct
0.000 0.000 0.000 Pr
0.500 0.217 0.217 Ho
0.000 0.790 0.790 Fe
0.500 0.424 0.424 Fe
0.000 0.356 0.356 Ge
0.000 0.655 0.655 Ge
0.500 0.563 0.563 Ge
0.500 0.854 0.854 Ge

---

9.
Pr2YAgHg3Au2 (PBE, relaxed); E_tot = -31.50 eV per cell; E_form = -0.58 eV per atom; calculated volume = 24.40 Å³/atom; space group = No. 38; spin magnetization = 0.00 μB per formula unit
1.0
3.896 0.000 0.000
0.000 6.967 4.046
0.000 -6.967 4.046
Pr Y Ag Hg Au
2 1 1 3 2
direct
0.000 0.202 0.798 Pr
0.000 0.798 0.202 Pr
0.000 0.391 0.391 Y
0.000 0.795 0.795 Ag
0.500 0.064 0.064 Hg
0.500 0.532 0.795 Hg
0.500 0.795 0.532 Hg
0.500 0.137 0.463 Au
0.500 0.463 0.137 Au

---

10.
Ho2Tl (PBE, relaxed); E_tot = -49.25 eV per cell; calculated volume = 28.26 Å³/atom; space group = No. 62; spin magnetization = 0.01 μB per formula unit
1.0
6.784 0.000 0.000
0.000 5.043 0.000
0.000 0.000 9.913
Ho Tl
8 4
direct
0.050 0.250 0.207 Ho
0.170 0.250 0.561 Ho
0.330 0.750 0.061 Ho
0.450 0.750 0.707 Ho
0.550 0.250 0.293 Ho
0.670 0.250 0.939 Ho
0.830 0.750 0.439 Ho
0.950 0.750 0.793 Ho
0.207 0.250 0.881 Tl
0.293 0.750 0.381 Tl
0.707 0.250 0.619 Tl
0.793 0.750 0.119 Tl

---

11.
HoCo2B (PBE, relaxed); E_tot = -53.05 eV per cell; calculated volume = 13.34 Å³/atom; space group = No. 59; spin magnetization = 0.51 μB per formula unit
1.0
3.692 0.000 0.000
0.000 5.100 0.000
0.000 0.000 5.667
Ho Co B
2 4 2
direct
0.250 0.250 0.120 Ho
0.750 0.750 0.880 Ho
0.250 0.031 0.629 Co
0.250 0.469 0.629 Co
0.750 0.531 0.371 Co
0.750 0.969 0.371 Co
0.250 0.750 0.360 B
0.750 0.250 0.640 B

---

12.
YNbPt (PBE, relaxed); E_tot = -20.66 eV per cell; E above lowest polymorph = 81.5 kJ per mole of atoms; E_form = 0.65 eV per atom; calculated volume = 23.71 Å³/atom; space group = No. 216; spin magnetization = 2.58 μB per formula unit
1.0
0.000 3.288 3.288
3.288 0.000 3.288
3.288 3.288 0.000
Y Nb Pt
1 1 1
direct
0.000 0.000 0.000 Y
0.750 0.750 0.750 Nb
0.250 0.250 0.250 Pt